No. 1
! GGA-PBE LaHoPdPb, relaxed; values from VASP
! **Formation enthalpy at 0 K**: -230 kJ/mol of formula units
! **DOS(E_F)**: 2.064 states/eV/cell
! **M_tot**: 0.0 μB/f.u.
&SYSTEM
  ibrav = 0, nat = 4, ntyp = 4
/
ATOMIC_SPECIES
La 138.91 La.upf
Ho 164.93 Ho.upf
Pd 106.42 Pd.upf
Pb 207.20 Pb.upf
ATOMIC_POSITIONS crystal
La 0.0000 0.0000 0.0000
Ho 0.5000 0.5000 0.5000
Pd 0.2500 0.2500 0.2500
Pb 0.7500 0.7500 0.7500
CELL_PARAMETERS angstrom
0.0000 3.7751 3.7751
3.7751 0.0000 3.7751
3.7751 3.7751 0.0000

=====

No. 2
! GGA-PBE Ba4Sn2H, relaxed; values from VASP
! **DOS(E_F)**: 16.169 states/eV/cell
! **M_tot**: 0.0 μB/f.u.
! **E above lowest polymorph**: 20 meV per atom
&SYSTEM
  ibrav = 0, nat = 14, ntyp = 3
/
ATOMIC_SPECIES
Ba 137.33 Ba.upf
Sn 118.71 Sn.upf
H 1.01 H.upf
ATOMIC_POSITIONS crystal
Ba 0.1773 0.2500 0.0663
Ba 0.2654 0.5031 0.7319
Ba 0.2654 0.9969 0.7319
Ba 0.2728 0.7500 0.3695
Ba 0.7272 0.2500 0.6305
Ba 0.7346 0.0031 0.2681
Ba 0.7346 0.4969 0.2681
Ba 0.8227 0.7500 0.9337
Sn 0.2082 0.2500 0.4220
Sn 0.3572 0.7500 0.0399
Sn 0.6428 0.2500 0.9601
Sn 0.7918 0.7500 0.5780
H 0.0847 0.2500 0.7969
H 0.9153 0.7500 0.2031
CELL_PARAMETERS angstrom
6.9945 0.0000 0.0000
0.0000 7.9210 0.0000
-2.8087 0.0000 9.8861

=====

No. 3
! GGA-PBE Y2ScP, relaxed; values from VASP
! **Formation enthalpy at 0 K**: -209 kJ/mol of formula units
! **DOS(E_F)**: 4.536 states/eV/cell
! **M_tot**: 0.0 μB/f.u.
&SYSTEM
  ibrav = 0, nat = 4, ntyp = 3
/
ATOMIC_SPECIES
Y 88.91 Y.upf
Sc 44.96 Sc.upf
P 30.97 P.upf
ATOMIC_POSITIONS crystal
Y 0.0000 0.0000 0.2076
Y 0.0000 0.0000 0.7924
Sc 0.5000 0.5000 0.5000
P 0.5000 0.5000 0.0000
CELL_PARAMETERS angstrom
3.6166 0.0000 0.0000
0.0000 3.6166 0.0000
0.0000 0.0000 7.4743

=====

No. 4
! GGA-PBE ZnCd2InHg, relaxed; values from VASP
! **Formation enthalpy at 0 K**: 98 kJ/mol of formula units
! **DOS(E_F)**: 2.124 states/eV/cell
! **M_tot**: 0.0 μB/f.u.
! **E above lowest polymorph**: 28 meV per atom
&SYSTEM
  ibrav = 0, nat = 5, ntyp = 4
/
ATOMIC_SPECIES
Zn 65.41 Zn.upf
Cd 112.41 Cd.upf
In 114.82 In.upf
Hg 200.59 Hg.upf
ATOMIC_POSITIONS crystal
Zn 0.0000 0.0000 0.0000
Cd 0.0000 0.5000 0.0000
Cd 0.5000 0.0000 0.0000
In 0.5000 0.5000 0.5000
Hg 0.0000 0.0000 0.5000
CELL_PARAMETERS angstrom
5.1121 0.0000 0.0000
0.0000 5.1121 0.0000
0.0000 0.0000 5.3053

=====

No. 5
! GGA-PBE K2ScMn, relaxed; values from VASP
! **Formation enthalpy at 0 K**: 249 kJ/mol of formula units
! **DOS(E_F)**: 3.671 states/eV/cell
! **M_tot**: 2.2 μB/f.u.
! **E above lowest polymorph**: 143 meV per atom
&SYSTEM
  ibrav = 0, nat = 4, ntyp = 3
/
ATOMIC_SPECIES
K 39.10 K.upf
Sc 44.96 Sc.upf
Mn 54.94 Mn.upf
ATOMIC_POSITIONS crystal
K 0.0000 0.0000 0.0000
K 0.1529 0.1529 0.6063
Sc 0.8144 0.8144 0.3031
Mn 0.5403 0.5403 0.3032
CELL_PARAMETERS angstrom
4.7795 -1.6326 0.0000
4.7795 1.6326 0.0000
-2.4292 0.0000 10.1036

=====

No. 6
! GGA-PBE Be4Pt3, relaxed; values from VASP
! **Formation enthalpy at 0 K**: -30 kJ/mol of formula units
! **DOS(E_F)**: 3.290 states/eV/cell
! **M_tot**: 0.4 μB/f.u.
! **E above lowest polymorph**: 533 meV per atom
&SYSTEM
  ibrav = 0, nat = 7, ntyp = 2
/
ATOMIC_SPECIES
Be 9.01 Be.upf
Pt 195.08 Pt.upf
ATOMIC_POSITIONS crystal
Be 0.0000 0.0000 0.2462
Be 0.0000 0.0000 0.7538
Be 0.3333 0.6667 0.5000
Be 0.6667 0.3333 0.5000
Pt 0.0000 0.5000 0.0000
Pt 0.5000 0.0000 0.0000
Pt 0.5000 0.5000 0.0000
CELL_PARAMETERS angstrom
5.2275 0.0000 0.0000
-2.6138 4.5272 0.0000
0.0000 0.0000 3.9010

=====

> Among the records above, which one has the highest DOS(E_F)?

Ba4Sn2H